<1>
DFT (PBE-GGA) results for a geometry-optimized Sr2Tl2Pd3 structure.

The magnetic moment comes out at 0.00 μB per cell. The theoretical density is 8.5 Mg/m³.

The space group is C2/m (No. 12) and the conventional cell measures 12.390, 4.193 and 7.421 Å, with angles of 90.00, 114.19 and 90.00 degrees. The asymmetric unit holds Sr at (0.114, 0.000, 0.274), Tl at (0.173, 0.000, 0.765), Pd at (0.000, 0.500, 0.500) and Pd at (0.090, 0.500, 0.931).


<2>
DFT (PBE-GGA) results for a geometry-optimized Sr2Tl2Pd3 structure.

The magnetic moment comes out at 0.00 μB per cell. The theoretical density is 8.5 Mg/m³.

The space group is C2/m (No. 12) and the conventional cell measures 8.783, 5.544 and 8.137 Å, with angles of 90.00, 117.03 and 90.00 degrees. The asymmetric unit holds Sr at (0.085, 0.000, 0.330), Tl at (0.169, 0.500, 0.888), Pd at (0.000, 0.500, 0.500) and Pd at (0.188, 0.500, 0.239).


Short version: <1> is the most stable of them.


<1>
DFT (PBE-GGA) results for a geometry-optimized SrTl4Pd6 structure.

The magnetic moment comes out at 0.00 μB per cell. The theoretical density is 10.3 Mg/m³.

The space group is I-42m (No. 121) and the conventional cell measures 6.865, 6.865 and 10.607 Å, with angles of 90.00, 90.00 and 90.00 degrees. The asymmetric unit holds Sr at (0.000, 0.000, 0.000), Tl at (0.213, 0.213, 0.312), Pd at (0.000, 0.500, 0.000) and Pd at (0.160, 0.160, 0.585).


<2>
DFT (PBE-GGA) results for a geometry-optimized SrTl4Pd6 structure.

The magnetic moment comes out at 0.00 μB per cell. The theoretical density is 11.0 Mg/m³.

The space group is P-6 (No. 174) and the conventional cell measures 7.6398, 7.6398 and 4.6273 Å, with angles of 90.00, 90.00 and 120.00 degrees. The asymmetric unit holds Sr at (0.0000, 0.0000, 0.0000), Tl at (0.1207, 0.7322, 0.5000), Tl at (0.6667, 0.3333, 0.0000), Pd at (0.0947, 0.4916, 0.0000) and Pd at (0.4259, 0.1343, 0.5000).


Short version: <2> is the most stable of them.


<1>
DFT (PBE-GGA) results for a geometry-optimized Sr6Tl2Pd structure.

The magnetic moment comes out at 0.00 μB per cell. The theoretical density is 4.6 Mg/m³.

The space group is P2_1/c (No. 14) and the conventional cell measures 7.377, 9.176 and 13.222 Å, with angles of 90.00, 123.33 and 90.00 degrees. The asymmetric unit holds Sr at (0.097, 0.163, 0.440), Sr at (0.297, 0.693, 0.438), Sr at (0.364, 0.037, 0.243), Tl at (0.203, 0.115, 0.757) and Pd at (0.500, 0.000, 0.500).


<2>
DFT (PBE-GGA) results for a geometry-optimized Sr6Tl2Pd structure.

The magnetic moment comes out at 0.00 μB per cell. The theoretical density is 4.9 Mg/m³.

The space group is Immm (No. 71) and the conventional cell measures 11.024, 11.103 and 11.548 Å, with angles of 90.00, 90.00 and 90.00 degrees. The asymmetric unit holds Sr at (0.000, 0.227, 0.162), Sr at (0.165, 0.224, 0.500), Sr at (0.217, 0.500, 0.301), Tl at (0.000, 0.000, 0.358), Tl at (0.136, 0.500, 0.000), Pd at (0.000, 0.000, 0.000) and Pd at (0.000, 0.500, 0.500).


Short version: <1> is the most stable of them.


<1>
DFT (PBE-GGA) results for a geometry-optimized Sr3Tl2Pd4 structure.

The magnetic moment comes out at 0.00 μB per cell. The theoretical density is 7.8 Mg/m³.

The space group is C2/m (No. 12) and the conventional cell measures 10.926, 4.722 and 9.157 Å, with angles of 90.00, 97.81 and 90.00 degrees. The asymmetric unit holds Sr at (0.000, 0.000, 0.000), Sr at (0.125, 0.500, 0.384), Tl at (0.182, 0.500, 0.774), Pd at (0.083, 0.000, 0.632) and Pd at (0.232, 0.500, 0.085).


<2>
DFT (PBE-GGA) results for a geometry-optimized Sr3Tl2Pd4 structure.

The magnetic moment comes out at 0.00 μB per cell. The theoretical density is 8.0 Mg/m³.

The space group is C2/m (No. 12) and the conventional cell measures 10.756, 4.361 and 10.700 Å, with angles of 90.00, 114.30 and 90.00 degrees. The asymmetric unit holds Sr at (0.000, 0.000, 0.000), Sr at (0.092, 0.000, 0.381), Tl at (0.242, 0.500, 0.205), Pd at (0.117, 0.500, 0.620) and Pd at (0.166, 0.500, 0.909).


Short version: <1> is the most stable of them.


<1>
DFT (PBE-GGA) results for a geometry-optimized SrTlPd3 structure.

The magnetic moment comes out at 0.00 μB per cell. The theoretical density is 7.5 Mg/m³.

The space group is Pm-3m (No. 221) and the conventional cell measures 5.127, 5.127 and 5.127 Å, with angles of 90.00, 90.00 and 90.00 degrees. The asymmetric unit holds Sr at (0.000, 0.000, 0.000), Tl at (0.500, 0.500, 0.500) and Pd at (0.000, 0.500, 0.500).


<2>
DFT (PBE-GGA) results for a geometry-optimized SrTlPd3 structure.

The magnetic moment comes out at 0.00 μB per cell. The theoretical density is 9.4 Mg/m³.

The space group is Imma (No. 74) and the conventional cell measures 5.718, 7.871 and 9.637 Å, with angles of 90.00, 90.00 and 90.00 degrees. The asymmetric unit holds Sr at (0.000, 0.250, 0.003), Tl at (0.000, 0.000, 0.500), Pd at (0.000, 0.250, 0.698) and Pd at (0.250, 0.054, 0.250).


Short version: <2> is the most stable of them.


<1>
DFT (PBE-GGA) results for a geometry-optimized SrTl2Pd9 structure.

The magnetic moment comes out at 0.00 μB per cell. The theoretical density is 10.6 Mg/m³.

The space group is R-3m (No. 166, hexagonal axes) and the conventional cell measures 5.4806, 5.4806 and 26.2670 Å, with angles of 90.00, 90.00 and 120.00 degrees. The asymmetric unit holds Sr at (0.0000, 0.0000, 0.0000), Tl at (0.0000, 0.0000, 0.1399), Pd at (0.0000, 0.0000, 0.3334), Pd at (0.0000, 0.0000, 0.5000) and Pd at (0.0046, 0.5023, 0.9144).


<2>
DFT (PBE-GGA) results for a geometry-optimized SrTl2Pd9 structure.

The magnetic moment comes out at 0.00 μB per cell. The theoretical density is 10.7 Mg/m³.

The space group is P4/mbm (No. 127) and the conventional cell measures 9.104, 9.104 and 5.428 Å, with angles of 90.00, 90.00 and 90.00 degrees. The asymmetric unit holds Sr at (0.000, 0.000, 0.000), Tl at (0.125, 0.375, 0.000), Pd at (0.000, 0.500, 0.500), Pd at (0.062, 0.206, 0.500) and Pd at (0.178, 0.678, 0.243).


Short version: <2> is the most stable of them.